Model w:
This record from Alexandria describes a relaxed structure of SiBi2Pb. The functional is GGA-PBE.

Geometry as POSCAR:
```
SiBi2Pb
1.0
-4.2535 4.2535 3.2713
4.2535 -4.2535 3.2713
4.2535 4.2535 -3.2713
Si Bi Pb
2 4 2
Cartesian
0.0000 0.0000 0.0000
0.0000 4.2535 1.6357
6.3803 1.7739 -0.8178
1.7739 2.1268 0.8178
-2.1268 2.4796 2.4535
2.4796 2.1268 4.0891
4.2535 0.0000 1.6357
0.0000 0.0000 3.2713
```

Properties
SG	I-42d

Model x:
This record from Alexandria describes a relaxed structure of SiBi2Pb. The functional is GGA-PBE.

Geometry as POSCAR:
```
SiBi2Pb
1.0
0.0000 3.8133 3.8133
3.8133 0.0000 3.8133
3.8133 3.8133 0.0000
Si Bi Pb
1 2 1
Cartesian
0.0000 0.0000 0.0000
1.9067 1.9067 1.9067
5.7200 5.7200 5.7200
3.8133 3.8133 3.8133
```

Properties
SG	Fm-3m

Tell me which of them is the least stable. Sure, it is model x.

Model w:
This record from Alexandria describes a relaxed structure of Si2BiPb. The functional is GGA-PBE.

Geometry as POSCAR:
```
Si2BiPb
1.0
-3.1968 3.1968 6.4424
3.1968 -3.1968 6.4424
3.1968 3.1968 -6.4424
Si Bi Pb
4 2 2
Cartesian
4.7951 1.5550 -1.6106
1.5550 1.5984 1.6106
-1.5984 1.6418 4.8318
1.6418 1.5984 8.0530
3.1968 0.0000 3.2212
0.0000 0.0000 6.4424
0.0000 0.0000 0.0000
0.0000 3.1968 3.2212
```

Properties
SG	I-42d

Model x:
This record from Alexandria describes a relaxed structure of Si2BiPb. The functional is GGA-PBE.

Geometry as POSCAR:
```
Si2BiPb
1.0
0.0000 3.6287 3.6287
3.6287 0.0000 3.6287
3.6287 3.6287 0.0000
Si Bi Pb
2 1 1
Cartesian
1.8143 1.8143 1.8143
5.4430 5.4430 5.4430
0.0000 0.0000 0.0000
3.6287 3.6287 3.6287
```

Properties
SG	Fm-3m

Tell me which of them is the least stable. Sure, it is model x.

Model w:
This record from Alexandria describes a relaxed structure of Sm4BiPb2. The functional is GGA-PBE.

Geometry as POSCAR:
```
Sm4BiPb2
1.0
-4.8003 4.8003 4.7853
4.8003 -4.8003 4.7853
4.8003 4.8003 -4.7853
Sm Bi Pb
8 2 4
Cartesian
3.0841 4.1115 -2.9282
5.4890 1.7162 -0.5356
1.7162 0.6888 1.8571
1.7162 4.1115 0.5356
5.4890 3.0841 2.9282
3.0841 0.6888 5.3209
-0.6888 3.0841 4.2498
-0.6888 1.7162 7.7135
4.8003 0.0000 2.3927
0.0000 0.0000 4.7853
2.4001 1.2159 -1.1963
3.5843 -2.4001 5.9817
2.4001 3.5843 3.5890
1.2159 7.2004 1.1963
```

Properties
SG	I-42d

Model x:
This record from Alexandria describes a relaxed structure of Sm4BiPb2. The functional is GGA-PBE.

Geometry as POSCAR:
```
Sm4BiPb2
1.0
6.3190 0.0000 0.0000
0.0000 6.6998 0.0000
-1.5387 0.0000 10.4991
Sm Bi Pb
8 2 4
Cartesian
-0.0208 1.6750 1.6959
0.2110 5.0249 4.7103
1.5538 0.0588 7.6696
1.5538 3.2911 7.6696
3.2265 3.4088 2.8295
3.2265 6.6410 2.8295
4.5693 1.6750 5.7889
4.8011 5.0249 8.8032
0.0335 5.0249 1.6158
4.7468 1.6750 8.8833
1.2264 1.6750 4.7692
3.1442 1.6750 0.0743
1.6361 5.0249 10.4249
3.5539 5.0249 5.7300
```

Properties
SG	P2_1/m

Tell me which of them is the least stable. Sure, it is model x.

Model w:
This record from Alexandria describes a relaxed structure of Sm2BiPb. The functional is GGA-PBE.

Geometry as POSCAR:
```
Sm2BiPb
1.0
4.1607 0.0000 0.0000
0.0000 4.1607 0.0000
0.0000 0.0000 6.9733
Sm Bi Pb
2 1 1
Cartesian
0.0000 0.0000 1.7327
0.0000 0.0000 5.2407
2.0804 2.0804 0.0000
2.0804 2.0804 3.4867
```

Properties
SG	P4/mmm

Model x:
This record from Alexandria describes a relaxed structure of Sm2BiPb. The functional is GGA-PBE.

Geometry as POSCAR:
```
Sm2BiPb
1.0
2.3090 -12.3831 0.0000
2.3090 12.3831 0.0000
0.0000 0.0000 4.5079
Sm Bi Pb
4 2 2
Cartesian
2.3090 10.8509 3.3810
2.3090 4.5507 3.3810
2.3090 -4.5507 1.1270
2.3090 -10.8509 1.1270
2.3090 7.7256 3.3810
2.3090 -7.7256 1.1270
2.3090 1.2014 3.3810
2.3090 -1.2014 1.1270
```

Properties
SG	Cmcm

Tell me which of them is the least stable. Sure, it is model w.

Model w:
This record from Alexandria describes a relaxed structure of Sm2BiPb. The functional is GGA-PBE.

Geometry as POSCAR:
```
Sm2BiPb
1.0
2.2085 1.2750 7.8355
-2.2085 1.2750 7.8355
0.0000 -2.5501 7.8355
Sm Bi Pb
2 1 1
Cartesian
0.0000 0.0000 5.8390
0.0000 0.0000 17.6674
0.0000 0.0000 11.7532
0.0000 0.0000 0.0000
```

Properties
SG	R-3m

Model x:
This record from Alexandria describes a relaxed structure of Sm2BiPb. The functional is GGA-PBE.

Geometry as POSCAR:
```
Sm2BiPb
1.0
2.1642 1.2495 8.3044
-2.1642 1.2495 8.3044
0.0000 -2.4990 8.3044
Sm Bi Pb
2 1 1
Cartesian
0.0000 0.0000 0.0000
0.0000 0.0000 4.3760
0.0000 0.0000 14.6776
0.0000 0.0000 10.4643
```

Properties
SG	R3m

Tell me which of them is the least stable. Sure, it is model x.

Model w:
This record from Alexandria describes a relaxed structure of Sm2BiPb. The functional is GGA-PBE.

Geometry as POSCAR:
```
Sm2BiPb
1.0
5.1478 0.0000 0.0000
0.0000 5.1478 0.0000
0.0000 0.0000 4.4912
Sm Bi Pb
2 1 1
Cartesian
0.0000 2.5739 0.0000
2.5739 0.0000 0.0000
0.0000 0.0000 2.2456
2.5739 2.5739 2.2456
```

Properties
SG	P4/mmm

Model x:
This record from Alexandria describes a relaxed structure of Sm2BiPb. The functional is GGA-PBE.

Geometry as POSCAR:
```
Sm2BiPb
1.0
0.0000 3.9398 3.9398
3.9398 0.0000 3.9398
3.9398 3.9398 0.0000
Sm Bi Pb
2 1 1
Cartesian
1.9699 1.9699 1.9699
5.9097 5.9097 5.9097
0.0000 0.0000 0.0000
3.9398 3.9398 3.9398
```

Properties
SG	Fm-3m

Tell me which of them is the least stable. Sure, it is model x.